An optimized crystal structure of Rb2TiAlBr6, computed with PBE-GGA.

Its space-group type is Fm-3m, No. 225. For the uncorrected formation energy, the calculation gives -1165 kJ/mol of formula units.

Cell lengths 7.857, 7.857, 7.857 Å; angles 60.00, 60.00, 60.00 degrees
Element x y z (fractional)
1 Rb 0.250 0.250 0.250
2 Rb 0.750 0.750 0.750
3 Ti 0.000 0.000 0.000
4 Al 0.500 0.500 0.500
5 Br 0.235 0.235 0.765
6 Br 0.235 0.765 0.235
7 Br 0.235 0.765 0.765
8 Br 0.765 0.235 0.235
9 Br 0.765 0.235 0.765
10 Br 0.765 0.765 0.235

=====

An optimized crystal structure of CaEuNi2, computed with PBE-GGA.

The formation energy is 0.008 eV/atom. The value obtained for the energy above the most stable polymorph in this dataset is 0.004 eV/atom. Its space-group type is Fm-3m, No. 225.

Cell lengths 4.896, 4.896, 4.896 Å; angles 60.00, 60.00, 60.00 degrees
Element x y z (fractional)
1 Ca 0.000 0.000 0.000
2 Eu 0.500 0.500 0.500
3 Ni 0.250 0.250 0.250
4 Ni 0.750 0.750 0.750

=====

An optimized crystal structure of InRe4, computed with PBE-GGA.

The formation energy is 0.466 eV/atom. The value obtained for the energy above the most stable polymorph in this dataset is 0.089 eV/atom. Its space-group type is I4/mmm, No. 139.

Cell lengths 6.252, 6.252, 6.252 Å; angles 141.65, 141.65, 55.35 degrees
Element x y z (fractional)
1 In 0.000 0.000 0.000
2 Re 0.250 0.750 0.500
3 Re 0.384 0.384 0.000
4 Re 0.616 0.616 0.000
5 Re 0.750 0.250 0.500

=====

An optimized crystal structure of CsHf3C, computed with PBE-GGA.

The formation energy is 0.805 eV/atom. The value obtained for the energy above the most stable polymorph in this dataset is 0.000 eV/atom. Its space-group type is Pm-3m, No. 221.

Cell lengths 4.720, 4.720, 4.720 Å; angles 90.00, 90.00, 90.00 degrees
Element x y z (fractional)
1 Cs 0.000 0.000 0.000
2 Hf 0.000 0.500 0.500
3 Hf 0.500 0.000 0.500
4 Hf 0.500 0.500 0.000
5 C 0.500 0.500 0.500

=====

An optimized crystal structure of BaZnI2N, computed with PBE-GGA.

The value obtained for the energy above the most stable polymorph in this dataset is 0.743 eV/atom. Its space-group type is P4/mmm, No. 123. For the uncorrected formation energy, the calculation gives 221 kJ/mol of formula units.

Cell lengths 6.861, 6.861, 4.788 Å; angles 90.00, 90.00, 90.00 degrees
Element x y z (fractional)
1 Ba 0.000 0.000 0.000
2 Zn 0.500 0.500 0.500
3 I 0.000 0.500 0.000
4 I 0.500 0.000 0.000
5 N 0.000 0.000 0.500

=====

An optimized crystal structure of NdTmGa2Au5, computed with PBE-GGA.

The formation energy is -0.498 eV/atom. Its space-group type is P4/mmm, No. 123.

Cell lengths 4.732, 4.732, 8.459 Å; angles 90.00, 90.00, 90.00 degrees
Element x y z (fractional)
1 Nd 0.000 0.000 0.000
2 Tm 0.000 0.000 0.500
3 Ga 0.500 0.500 0.355
4 Ga 0.500 0.500 0.645
5 Au 0.000 0.500 0.241
6 Au 0.000 0.500 0.759
7 Au 0.500 0.000 0.241
8 Au 0.500 0.000 0.759
9 Au 0.500 0.500 0.000

=====

An optimized crystal structure of Li5Zn4Cu3, computed with PBE-GGA.

The formation energy is -0.010 eV/atom. Its space-group type is C2/m, No. 12.

Cell lengths 6.678, 6.678, 6.931 Å; angles 114.12, 114.12, 39.29 degrees
Element x y z (fractional)
1 Li 0.000 0.000 0.000
2 Li 0.330 0.330 0.620
3 Li 0.421 0.421 0.281
4 Li 0.579 0.579 0.719
5 Li 0.670 0.670 0.380
6 Zn 0.088 0.088 0.455
7 Zn 0.237 0.237 0.885
8 Zn 0.763 0.763 0.115
9 Zn 0.912 0.912 0.545
10 Cu 0.205 0.205 0.223
11 Cu 0.500 0.500 0.000
12 Cu 0.795 0.795 0.777

=====

An optimized crystal structure of SrPm2Hg6, computed with PBE-GGA.

The formation energy is -0.431 eV/atom. Its space-group type is P6/mmm, No. 191.

Cell lengths 8.785, 8.785, 3.551 Å; angles 90.00, 90.00, 120.00 degrees
Element x y z (fractional)
1 Sr 0.000 0.000 0.000
2 Pm 0.333 0.667 0.000
3 Pm 0.667 0.333 0.000
4 Hg 0.000 0.335 0.500
5 Hg 0.000 0.665 0.500
6 Hg 0.335 0.000 0.500
7 Hg 0.335 0.335 0.500
8 Hg 0.665 0.000 0.500
9 Hg 0.665 0.665 0.500

=====

An optimized crystal structure of Zn2Cd3AgAu3, computed with PBE-GGA.

The formation energy is -0.094 eV/atom. Its space-group type is P-62m, No. 189.

Cell lengths 8.004, 8.004, 2.958 Å; angles 90.00, 90.00, 120.00 degrees
Element x y z (fractional)
1 Zn 0.333 0.667 0.000
2 Zn 0.667 0.333 0.000
3 Cd 0.000 0.695 0.000
4 Cd 0.305 0.305 0.000
5 Cd 0.695 0.000 0.000
6 Ag 0.000 0.000 0.500
7 Au 0.000 0.373 0.500
8 Au 0.373 0.000 0.500
9 Au 0.627 0.627 0.500

=====

An optimized crystal structure of Cs2Pm2PbO6, computed with PBE-GGA.

Its space-group type is C2/m, No. 12. For the uncorrected formation energy, the calculation gives -2248 kJ/mol of formula units.

Cell lengths 6.191, 6.191, 7.343 Å; angles 97.63, 97.63, 119.96 degrees
Element x y z (fractional)
1 Cs 0.165 0.835 0.000
2 Cs 0.835 0.165 0.000
3 Pm 0.334 0.666 0.500
4 Pm 0.666 0.334 0.500
5 Pb 0.000 0.000 0.500
6 O 0.046 0.372 0.661
7 O 0.260 0.260 0.339
8 O 0.372 0.046 0.661
9 O 0.628 0.954 0.339
10 O 0.740 0.740 0.661
11 O 0.954 0.628 0.339

=====

An optimized crystal structure of CaZrPS2, computed with PBE-GGA.

The value obtained for the energy above the most stable polymorph in this dataset is 1.279 eV/atom. Its space-group type is P4/mmm, No. 123. For the uncorrected formation energy, the calculation gives 132 kJ/mol of formula units.

Cell lengths 4.937, 4.937, 5.034 Å; angles 90.00, 90.00, 90.00 degrees
Element x y z (fractional)
1 Ca 0.000 0.000 0.000
2 Zr 0.500 0.500 0.500
3 P 0.000 0.000 0.500
4 S 0.000 0.500 0.000
5 S 0.500 0.000 0.000

=====

An optimized crystal structure of PrGa3Ni5, computed with PBE-GGA.

The formation energy is -0.398 eV/atom. Its space-group type is Cmcm, No. 63.

Cell lengths 6.385, 6.385, 11.670 Å; angles 90.00, 90.00, 144.66 degrees
Element x y z (fractional)
1 Pr 0.176 0.824 0.750
2 Pr 0.824 0.176 0.250
3 Ga 0.102 0.898 0.250
4 Ga 0.380 0.620 0.048
5 Ga 0.380 0.620 0.452
6 Ga 0.620 0.380 0.548
7 Ga 0.620 0.380 0.952
8 Ga 0.898 0.102 0.750
9 Ni 0.000 0.000 0.000
10 Ni 0.000 0.000 0.500
11 Ni 0.190 0.810 0.063
12 Ni 0.190 0.810 0.437
13 Ni 0.446 0.554 0.643
14 Ni 0.446 0.554 0.857
15 Ni 0.554 0.446 0.143
16 Ni 0.554 0.446 0.357
17 Ni 0.810 0.190 0.563
18 Ni 0.810 0.190 0.937

=====

An optimized crystal structure of DyTm2Au4, computed with PBE-GGA.

The formation energy is -0.732 eV/atom. Its space-group type is Cmmm, No. 65.

Cell lengths 6.007, 6.007, 4.911 Å; angles 90.00, 90.00, 105.37 degrees
Element x y z (fractional)
1 Dy 0.000 0.000 0.000
2 Tm 0.285 0.715 0.500
3 Tm 0.715 0.285 0.500
4 Au 0.000 0.500 0.000
5 Au 0.212 0.212 0.500
6 Au 0.500 0.000 0.000
7 Au 0.788 0.788 0.500

=====

An optimized crystal structure of Zr4TiAg2, computed with PBE-GGA.

The formation energy is 0.691 eV/atom. Its space-group type is I4/mmm, No. 139.

Cell lengths 7.886, 7.886, 7.886 Å; angles 144.14, 144.14, 51.62 degrees
Element x y z (fractional)
1 Zr 0.000 0.500 0.500
2 Zr 0.188 0.188 0.000
3 Zr 0.500 0.000 0.500
4 Zr 0.812 0.812 0.000
5 Ti 0.000 0.000 0.000
6 Ag 0.382 0.382 0.000
7 Ag 0.618 0.618 0.000

=====

An optimized crystal structure of BTeAuN2, computed with PBE-GGA.

The value obtained for the energy above the most stable polymorph in this dataset is 0.536 eV/atom. Its space-group type is P4/mmm, No. 123. For the uncorrected formation energy, the calculation gives 1065 kJ/mol of formula units.

Cell lengths 3.845, 3.845, 8.686 Å; angles 90.00, 90.00, 90.00 degrees
Element x y z (fractional)
1 B 0.000 0.000 0.000
2 Te 0.500 0.500 0.000
3 Au 0.500 0.500 0.500
4 N 0.000 0.500 0.500
5 N 0.500 0.000 0.500

=====

An optimized crystal structure of GdTm2Cd, computed with PBE-GGA.

The formation energy is -0.096 eV/atom. The value obtained for the energy above the most stable polymorph in this dataset is 0.040 eV/atom. Its space-group type is P4/mmm, No. 123.

Cell lengths 4.831, 4.831, 4.785 Å; angles 90.00, 90.00, 90.00 degrees
Element x y z (fractional)
1 Gd 0.000 0.000 0.000
2 Tm 0.000 0.500 0.500
3 Tm 0.500 0.000 0.500
4 Cd 0.500 0.500 0.000

=====

An optimized crystal structure of Y4ThSb5, computed with PBE-GGA.

Its space-group type is Immm, No. 71. For the uncorrected formation energy, the calculation gives -1079 kJ/mol of formula units.

Cell lengths 11.675, 11.675, 11.675 Å; angles 158.17, 148.91, 38.31 degrees
Element x y z (fractional)
1 Y 0.101 0.101 0.000
2 Y 0.297 0.297 0.000
3 Y 0.703 0.703 0.000
4 Y 0.899 0.899 0.000
5 Th 0.500 0.500 0.000
6 Sb 0.000 0.500 0.500
7 Sb 0.199 0.699 0.500
8 Sb 0.397 0.897 0.500
9 Sb 0.603 0.103 0.500
10 Sb 0.801 0.301 0.500

=====

An optimized crystal structure of KNp2SO4, computed with PBE-GGA.

Its space-group type is P4/mmm, No. 123. For the uncorrected formation energy, the calculation gives -1758 kJ/mol of formula units.

Cell lengths 3.798, 3.798, 9.535 Å; angles 90.00, 90.00, 90.00 degrees
Element x y z (fractional)
1 K 0.000 0.000 0.000
2 Np 0.500 0.500 0.304
3 Np 0.500 0.500 0.696
4 S 0.000 0.000 0.500
5 O 0.000 0.500 0.209
6 O 0.000 0.500 0.791
7 O 0.500 0.000 0.209
8 O 0.500 0.000 0.791

=====

An optimized crystal structure of Tm6Hg2Te3Pb, computed with PBE-GGA.

Its space-group type is C2/m, No. 12. For the uncorrected formation energy, the calculation gives -955 kJ/mol of formula units.

Cell lengths 9.950, 9.950, 8.852 Å; angles 110.46, 110.46, 24.45 degrees
Element x y z (fractional)
1 Tm 0.013 0.013 0.256
2 Tm 0.329 0.329 0.868
3 Tm 0.337 0.337 0.383
4 Tm 0.663 0.663 0.617
5 Tm 0.671 0.671 0.132
6 Tm 0.987 0.987 0.744
7 Hg 0.185 0.185 0.392
8 Hg 0.815 0.815 0.608
9 Te 0.161 0.161 0.866
10 Te 0.500 0.500 0.500
11 Te 0.839 0.839 0.134
12 Pb 0.500 0.500 0.000

=====

An optimized crystal structure of Ta2In2Fe, computed with PBE-GGA.

The formation energy is 0.751 eV/atom. The value obtained for the energy above the most stable polymorph in this dataset is 0.155 eV/atom. Its space-group type is I4/mmm, No. 139.

Cell lengths 7.828, 7.828, 7.828 Å; angles 152.16, 152.16, 39.78 degrees
Element x y z (fractional)
1 Ta 0.250 0.750 0.500
2 Ta 0.750 0.250 0.500
3 In 0.093 0.093 0.000
4 In 0.907 0.907 0.000
5 Fe 0.500 0.500 0.000